ReSiSe2 (PBE-GGA, relaxed); spin magnetization = 0.0000 μB/atom; E_tot = -6.1238 eV/atom; ΔE_f (raw) = 8 kJ/mol of atoms
1.0
4.3939 0.0022 0.0200
3.1365 3.0771 0.0200
1.0350 0.4232 6.7456
Re Se Si
1 2 1
direct
0.2779 0.2779 0.3376
0.9501 0.9501 0.1013
0.7199 0.7199 0.6484
0.5521 0.5521 0.4127

V3Co2Ni7 (PBE-GGA, relaxed); spin magnetization = 0.1290 μB/atom; E_tot = -6.6604 eV/atom; formation energy from the elements = 0.18 eV per atom
1.0
2.5582 0.0000 -0.3347
0.0000 3.9349 0.0000
0.5947 0.0000 14.5229
V Co Ni
3 2 7
direct
0.5000 0.5000 0.0000
0.8320 0.0000 0.6641
0.1680 0.0000 0.3359
0.3614 0.5000 0.7235
0.6386 0.5000 0.2765
0.2835 0.5000 0.5668
0.7165 0.5000 0.4332
0.4154 0.0000 0.8308
0.0000 0.0000 0.0000
0.5846 0.0000 0.1692
0.0685 0.5000 0.1370
0.9315 0.5000 0.8630

Copy entry 1 word for word.
ReSiSe2 (PBE-GGA, relaxed); spin magnetization = 0.0000 μB/atom; E_tot = -6.1238 eV/atom; ΔE_f (raw) = 8 kJ/mol of atoms
1.0
4.3939 0.0022 0.0200
3.1365 3.0771 0.0200
1.0350 0.4232 6.7456
Re Se Si
1 2 1
direct
0.2779 0.2779 0.3376
0.9501 0.9501 0.1013
0.7199 0.7199 0.6484
0.5521 0.5521 0.4127

> Which formula does entry 1 have?

ReSiSe2